Material: Pm2AsPt6
Method: DFT, PBE
State: relaxed

Lattice parameters (Å, degrees): 5.6848 5.6848 6.2538 101.50 101.50 60.18
With the nearest neighbours (Å) after each atom.
Element x y z (fractional)
Pm  0.1418  0.1418  0.3531  9 Pt 3.01-3.21
Pm  0.8582  0.8582  0.6469  9 Pt 3.01-3.21
As  0.5000  0.5000  0.5000  6 Pt 2.48-2.56
Pt  0.1076  0.6204  0.1861  1 As 2.56, 4 Pt 2.76-2.84
Pt  0.3767  0.3767  0.8042  1 As 2.48, 2 Pt 2.76
Pt  0.3796  0.8924  0.8139  1 As 2.56, 4 Pt 2.76-2.84
Pt  0.6204  0.1076  0.1861  1 As 2.56, 4 Pt 2.76-2.84
Pt  0.6233  0.6233  0.1958  1 As 2.48, 2 Pt 2.76
Pt  0.8924  0.3796  0.8139  1 As 2.56, 4 Pt 2.76-2.84

Energy of formation ... -882 meV per atom

Material: Np3UPd12
Method: DFT, PBE
State: relaxed

Lattice parameters (Å, degrees): 4.1427 4.1427 16.6155 90.00 90.00 90.00
With the nearest neighbours (Å) after each atom.
Element x y z (fractional)
Np  0.0000  0.0000  0.0000  12 Pd 2.93-2.94
Np  0.0000  0.0000  0.2489  12 Pd 2.92-2.99
Np  0.0000  0.0000  0.7511  12 Pd 2.92-2.99
U  0.0000  0.0000  0.5000  12 Pd 2.89-2.93
Pd  0.0000  0.5000  0.1252  4 Np 2.92-2.94, 8 Pd 2.93-2.95
Pd  0.0000  0.5000  0.3785  2 U 2.89, 8 Pd 2.89-2.95, 2 Np 2.99
Pd  0.0000  0.5000  0.6215  8 Pd 2.89-2.95, 2 U 2.89, 2 Np 2.99
Pd  0.0000  0.5000  0.8748  4 Np 2.92-2.94, 8 Pd 2.93-2.95
Pd  0.5000  0.0000  0.1252  4 Np 2.92-2.94, 8 Pd 2.93-2.95
Pd  0.5000  0.0000  0.3785  2 U 2.89, 8 Pd 2.89-2.95, 2 Np 2.99
Pd  0.5000  0.0000  0.6215  8 Pd 2.89-2.95, 2 U 2.89, 2 Np 2.99
Pd  0.5000  0.0000  0.8748  4 Np 2.92-2.94, 8 Pd 2.93-2.95
Pd  0.5000  0.5000  0.0000  4 Np 2.93, 8 Pd 2.94
Pd  0.5000  0.5000  0.2518  4 Np 2.93, 8 Pd 2.95
Pd  0.5000  0.5000  0.5000  8 Pd 2.89, 4 U 2.93
Pd  0.5000  0.5000  0.7482  4 Np 2.93, 8 Pd 2.95

Energy of formation ... -443 meV per atom

Material: Tb2Dy6HoSc3
Method: DFT, PBE
State: relaxed

Lattice parameters (Å, degrees): 6.0350 6.0350 11.4474 95.03 95.03 119.96
With the nearest neighbours (Å) after each atom.
Element x y z (fractional)
Tb  0.1667  0.8333  0.0000  3 Ho 3.48-3.49, 3 Tb 3.48-3.49, 6 Dy 3.55
Tb  0.8333  0.1667  0.0000  3 Ho 3.48-3.49, 3 Tb 3.48-3.49, 6 Dy 3.55
Dy  0.0802  0.4134  0.7409  3 Sc 3.38, 6 Dy 3.48-3.49, 2 Tb 3.55, 1 Ho 3.55
Dy  0.2534  0.2534  0.2592  3 Sc 3.38, 6 Dy 3.48-3.49, 1 Ho 3.55, 2 Tb 3.55
Dy  0.4134  0.0802  0.7409  3 Sc 3.38, 6 Dy 3.48-3.49, 2 Tb 3.55, 1 Ho 3.55
Dy  0.5866  0.9198  0.2591  3 Sc 3.38, 6 Dy 3.48-3.49, 2 Tb 3.55, 1 Ho 3.55
Dy  0.7466  0.7466  0.7408  3 Sc 3.38, 6 Dy 3.48-3.49, 1 Ho 3.55, 2 Tb 3.55
Dy  0.9198  0.5866  0.2591  3 Sc 3.38, 6 Dy 3.48-3.49, 2 Tb 3.55, 1 Ho 3.55
Ho  0.5000  0.5000  0.0000  6 Tb 3.48-3.49, 6 Dy 3.55
Sc  0.0000  0.0000  0.5000  6 Dy 3.38, 6 Sc 3.48-3.49
Sc  0.3333  0.6667  0.5000  6 Dy 3.38, 6 Sc 3.48-3.49
Sc  0.6667  0.3333  0.5000  6 Dy 3.38, 6 Sc 3.48-3.49

Energy of formation ... 43 meV per atom

Material: Ca2Os
Method: DFT, PBE
State: relaxed

Lattice parameters (Å, degrees): 8.1758 8.1758 3.7316 90.00 90.00 120.00
With the nearest neighbours (Å) after each atom.
Element x y z (fractional)
Ca  0.0000  0.2698  0.0000  4 Os 2.89-3.02
Ca  0.0000  0.6051  0.5000  5 Os 3.13-3.23, 6 Ca 3.32-3.41
Ca  0.2698  0.0000  0.0000  4 Os 2.89-3.02
Ca  0.3949  0.3949  0.5000  5 Os 3.13-3.23, 6 Ca 3.32-3.41
Ca  0.6051  0.0000  0.5000  5 Os 3.13-3.23, 6 Ca 3.32-3.41
Ca  0.7302  0.7302  0.0000  4 Os 2.89-3.02
Os  0.0000  0.0000  0.5000  9 Ca 2.89-3.23
Os  0.3333  0.6667  0.0000  9 Ca 3.02-3.13
Os  0.6667  0.3333  0.0000  9 Ca 3.02-3.13

Energy of formation ... 478 meV per atom

Material: CePmZnCd
Method: DFT, PBE
State: relaxed

Lattice parameters (Å, degrees): 5.3057 5.3057 5.3057 60.00 60.00 60.00
With the nearest neighbours (Å) after each atom.
Element x y z (fractional)
Ce  0.0000  0.0000  0.0000  4 Cd 3.25, 4 Zn 3.25
Pm  0.5000  0.5000  0.5000  4 Cd 3.25, 4 Zn 3.25
Zn  0.2500  0.2500  0.2500  4 Ce 3.25, 4 Pm 3.25
Cd  0.7500  0.7500  0.7500  4 Ce 3.25, 4 Pm 3.25

Energy of formation ... -199 meV per atom
Energy above the lowest structure with this stoichiometry ... 32 meV/atom

Material: NpCuBi2S5
Method: DFT, PBE
State: relaxed

Lattice parameters (Å, degrees): 8.6804 8.6804 12.8270 90.00 90.00 153.67
With the nearest neighbours (Å) after each atom.
Element x y z (fractional)
Np  0.1932  0.8068  0.5000  6 S 2.65-2.79
Np  0.8068  0.1932  0.0000  6 S 2.65-2.79
Cu  0.4350  0.5650  0.8941  4 S 2.31-2.33
Cu  0.5650  0.4350  0.3941  4 S 2.31-2.33
Bi  0.0947  0.9053  0.1012  3 S 2.68-2.70
Bi  0.1155  0.8845  0.7491  4 S 2.78-2.92
Bi  0.8845  0.1155  0.2491  4 S 2.78-2.92
Bi  0.9053  0.0947  0.6012  3 S 2.68-2.70
S  0.0366  0.9634  0.4834  2 Cu 2.33
S  0.2853  0.7147  0.1438  2 Np 2.73, 2 Bi 2.92
S  0.3007  0.6993  0.8625  1 Cu 2.31
S  0.3571  0.6429  0.4725  2 Bi 2.70, 1 Np 2.79
S  0.4996  0.5004  0.2352  1 Cu 2.32
S  0.5004  0.4996  0.7352  1 Cu 2.32
S  0.6429  0.3571  0.9725  2 Bi 2.70, 1 Np 2.79
S  0.6993  0.3007  0.3625  1 Cu 2.31
S  0.7147  0.2853  0.6438  2 Np 2.73, 2 Bi 2.92
S  0.9634  0.0366  0.9834  2 Cu 2.33

E ... -50.46 eV/f.u.

Material: ZnAg3Au2
Method: DFT, PBE
State: relaxed

Lattice parameters (Å, degrees): 6.4518 6.4518 4.2709 90.00 90.00 144.06
With the nearest neighbours (Å) after each atom.
Element x y z (fractional)
Zn  0.0000  0.0000  0.0000  4 Au 2.79, 8 Ag 2.92-2.96
Ag  0.1666  0.8334  0.5000  4 Ag 2.85-2.86, 6 Au 2.92-3.02, 2 Zn 2.96
Ag  0.5000  0.5000  0.5000  4 Ag 2.85, 4 Au 2.90, 4 Zn 2.92
Ag  0.8334  0.1666  0.5000  4 Ag 2.85-2.86, 6 Au 2.92-3.02, 2 Zn 2.96
Au  0.3405  0.6595  0.0000  2 Zn 2.79, 8 Ag 2.90-3.02, 2 Au 2.98
Au  0.6595  0.3405  0.0000  2 Zn 2.79, 8 Ag 2.90-3.02, 2 Au 2.98

Energy of formation ... -70 meV per atom
Energy above the lowest structure with this stoichiometry ... 0 meV/atom

Material: Mg2HgSe
Method: DFT, PBE
State: relaxed

Lattice parameters (Å, degrees): 5.0168 5.0168 5.0168 60.00 60.00 60.00
With the nearest neighbours (Å) after each atom.
Element x y z (fractional)
Mg  0.2500  0.2500  0.2500  4 Hg 3.07, 4 Se 3.07
Mg  0.7500  0.7500  0.7500  4 Hg 3.07, 4 Se 3.07
Hg  0.0000  0.0000  0.0000  8 Mg 3.07
Se  0.5000  0.5000  0.5000  8 Mg 3.07

Energy above the lowest structure with this stoichiometry ... 261 meV/atom

Material: TbPmSmHo
Method: DFT, PBE
State: relaxed

Lattice parameters (Å, degrees): 5.0568 5.0844 5.0864 90.00 90.00 90.00
With the nearest neighbours (Å) after each atom.
Element x y z (fractional)
Tb  0.0000  0.0000  0.0000  4 Sm 3.59, 4 Pm 3.59, 4 Ho 3.60
Pm  0.5000  0.0000  0.5000  4 Ho 3.59, 4 Tb 3.59, 4 Sm 3.60
Sm  0.5000  0.5000  0.0000  4 Tb 3.59, 4 Ho 3.59, 4 Pm 3.60
Ho  0.0000  0.5000  0.5000  4 Pm 3.59, 4 Sm 3.59, 4 Tb 3.60

Energy of formation ... 19 meV per atom
Energy above the lowest structure with this stoichiometry ... 0 meV/atom

Material: SmHo6Tm3
Method: DFT, PBE
State: relaxed

Lattice parameters (Å, degrees): 10.8665 10.8665 6.1442 90.00 90.00 119.75
With the nearest neighbours (Å) after each atom.
Element x y z (fractional)
Sm  0.2076  0.7924  0.5000  3 Tm 3.22-3.46, 7 Ho 3.26-3.48
Sm  0.7924  0.2076  0.0000  3 Tm 3.22-3.46, 7 Ho 3.26-3.48
Ho  0.0387  0.4586  0.2948  5 Ho 3.24-3.42, 2 Tm 3.25-3.56, 2 Sm 3.26-3.39
Ho  0.0475  0.9525  0.7407  1 Sm 3.35, 4 Tm 3.50-3.59, 4 Ho 3.55-3.72
Ho  0.2857  0.7143  0.0132  4 Ho 3.24-3.34, 1 Tm 3.29, 2 Sm 3.33-3.48
Ho  0.2893  0.3812  0.1261  4 Tm 3.37-3.54, 6 Ho 3.39-3.72
Ho  0.3812  0.2893  0.6261  4 Tm 3.37-3.54, 6 Ho 3.39-3.72
Ho  0.4586  0.0387  0.7948  5 Ho 3.24-3.42, 2 Tm 3.25-3.56, 2 Sm 3.26-3.39
Ho  0.5414  0.9613  0.2948  5 Ho 3.24-3.42, 2 Tm 3.25-3.56, 2 Sm 3.26-3.39
Ho  0.6188  0.7107  0.1261  4 Tm 3.37-3.54, 6 Ho 3.39-3.72
Ho  0.7107  0.6188  0.6261  4 Tm 3.37-3.54, 6 Ho 3.39-3.72
Ho  0.7143  0.2857  0.5132  4 Ho 3.24-3.34, 1 Tm 3.29, 2 Sm 3.33-3.48
Ho  0.9525  0.0475  0.2407  1 Sm 3.35, 4 Tm 3.50-3.59, 4 Ho 3.55-3.72
Ho  0.9613  0.5414  0.7948  5 Ho 3.24-3.42, 2 Tm 3.25-3.56, 2 Sm 3.26-3.39
Tm  0.0645  0.2814  0.7012  1 Sm 3.22, 6 Ho 3.25-3.59
Tm  0.2814  0.0645  0.2012  1 Sm 3.22, 6 Ho 3.25-3.59
Tm  0.3897  0.6103  0.5819  5 Ho 3.29-3.54, 1 Sm 3.46, 2 Tm 3.64
Tm  0.6103  0.3897  0.0819  5 Ho 3.29-3.54, 1 Sm 3.46, 2 Tm 3.64
Tm  0.7186  0.9355  0.7012  1 Sm 3.22, 6 Ho 3.25-3.59
Tm  0.9355  0.7186  0.2012  1 Sm 3.22, 6 Ho 3.25-3.59

Energy of formation ... 150 meV per atom
Energy above the lowest structure with this stoichiometry ... 25 meV/atom

Material: Pm2DyY4Ho2
Method: DFT, PBE
State: relaxed

Lattice parameters (Å, degrees): 9.5353 9.5353 9.5934 115.26 115.26 21.81
With the nearest neighbours (Å) after each atom.
Element x y z (fractional)
Pm  0.1484  0.1484  0.1672  3 Ho 3.54-3.56, 7 Y 3.56-3.62, 2 Pm 3.61
Pm  0.8516  0.8516  0.8328  3 Ho 3.54-3.56, 7 Y 3.56-3.62, 2 Pm 3.61
Dy  0.0000  0.0000  0.5000  6 Y 3.54, 4 Ho 3.60, 2 Dy 3.61
Y  0.1849  0.1849  0.8322  2 Ho 3.54, 1 Dy 3.54, 3 Pm 3.56-3.60, 6 Y 3.57-3.61
Y  0.4813  0.4813  0.1686  2 Dy 3.54, 1 Ho 3.55, 4 Pm 3.57-3.62, 5 Y 3.59-3.61
Y  0.5187  0.5187  0.8314  2 Dy 3.54, 1 Ho 3.55, 4 Pm 3.57-3.62, 5 Y 3.59-3.61
Y  0.8151  0.8151  0.1678  2 Ho 3.54, 1 Dy 3.54, 3 Pm 3.56-3.60, 6 Y 3.57-3.61
Ho  0.3335  0.3335  0.4992  3 Y 3.54-3.55, 3 Pm 3.54-3.56, 2 Dy 3.60, 4 Ho 3.61-3.62
Ho  0.6665  0.6665  0.5008  3 Y 3.54-3.55, 3 Pm 3.54-3.56, 2 Dy 3.60, 4 Ho 3.61-3.62

Energy of formation ... 7 meV per atom

Material: PrCd5Hg2
Method: DFT, PBE
State: relaxed

Lattice parameters (Å, degrees): 7.2890 7.2890 7.2890 146.68 108.16 81.53
With the nearest neighbours (Å) after each atom.
Element x y z (fractional)
Pr  0.0000  0.0000  0.0000  4 Hg 3.28
Cd  0.1719  0.3635  0.8084  3 Hg 2.83-3.05, 3 Cd 3.01-3.05
Cd  0.4449  0.6365  0.8084  3 Hg 2.83-3.05, 3 Cd 3.01-3.05
Cd  0.5000  0.0000  0.5000  2 Hg 3.00, 8 Cd 3.05
Cd  0.5551  0.3635  0.1916  3 Hg 2.83-3.05, 3 Cd 3.01-3.05
Cd  0.8281  0.6365  0.1916  3 Hg 2.83-3.05, 3 Cd 3.01-3.05
Hg  0.2286  0.7286  0.5000  7 Cd 2.83-3.05
Hg  0.7714  0.2714  0.5000  7 Cd 2.83-3.05

Energy of formation ... -161 meV per atom

Material: Hf2Zr7Ti2
Method: DFT, PBE
State: relaxed

Lattice parameters (Å, degrees): 6.9163 6.9163 5.4028 102.88 102.88 94.68
With the nearest neighbours (Å) after each atom.
Element x y z (fractional)
Hf  0.0853  0.0853  0.2946  2 Hf 3.06-3.13, 2 Ti 3.12, 7 Zr 3.22-3.33
Hf  0.9147  0.9147  0.7054  2 Hf 3.06-3.13, 2 Ti 3.12, 7 Zr 3.22-3.33
Zr  0.0871  0.5703  0.3195  2 Ti 2.72-3.01, 3 Zr 2.81-2.94
Zr  0.2841  0.2841  0.9061  5 Zr 2.94-3.25, 2 Ti 3.04, 3 Hf 3.22-3.27
Zr  0.4297  0.9129  0.6805  2 Ti 2.72-3.01, 3 Zr 2.81-2.94
Zr  0.5000  0.5000  0.5000  6 Zr 2.92-3.18
Zr  0.5703  0.0871  0.3195  2 Ti 2.72-3.01, 3 Zr 2.81-2.94
Zr  0.7159  0.7159  0.0939  5 Zr 2.94-3.25, 2 Ti 3.04, 3 Hf 3.22-3.27
Zr  0.9129  0.4297  0.6805  2 Ti 2.72-3.01, 3 Zr 2.81-2.94
Ti  0.2678  0.7322  0.0000  6 Zr 2.72-3.04
Ti  0.7322  0.2678  0.0000  6 Zr 2.72-3.04

Energy of formation ... 173 meV per atom

Material: LaTbAlSi
Method: DFT, PBE
State: relaxed

Lattice parameters (Å, degrees): 4.0658 6.0691 6.0691 43.02 90.00 90.00
With the nearest neighbours (Å) after each atom.
Element x y z (fractional)
La  0.0000  0.0000  0.0000  4 Al 3.15, 3 Si 3.17-3.33
Tb  0.5000  0.2838  0.2838  4 Si 3.10, 3 Al 3.19-3.36
Al  0.5000  0.5817  0.5817  2 Si 2.56
Si  0.0000  0.7193  0.7193  2 Al 2.56

E ... -21.13 eV/f.u.

Material: Ba2In6Sn3
Method: DFT, PBE
State: relaxed

Lattice parameters (Å, degrees): 9.1492 9.1492 4.9230 90.00 90.00 120.00
With the nearest neighbours (Å) after each atom.
Element x y z (fractional)
Ba  0.3333  0.6667  0.0000  6 Sn 3.75, 9 In 3.85-4.12
Ba  0.6667  0.3333  0.0000  6 Sn 3.75, 9 In 3.85-4.12
In  0.0000  0.2833  0.5000  3 Sn 2.99-3.19
In  0.0000  0.8063  0.0000  2 Sn 3.05, 6 In 3.07-3.37
In  0.1937  0.1937  0.0000  2 Sn 3.05, 6 In 3.07-3.37
In  0.2833  0.0000  0.5000  3 Sn 2.99-3.19
In  0.7167  0.7167  0.5000  3 Sn 2.99-3.19
In  0.8063  0.0000  0.0000  2 Sn 3.05, 6 In 3.07-3.37
Sn  0.0000  0.6102  0.5000  5 In 2.99-3.19
Sn  0.3898  0.3898  0.5000  5 In 2.99-3.19
Sn  0.6102  0.0000  0.5000  5 In 2.99-3.19

Energy of formation ... -254 meV per atom

Material: Nd2Dy2Al
Method: DFT, PBE
State: relaxed

Lattice parameters (Å, degrees): 9.3431 9.3431 9.3431 153.42 153.42 37.94
With the nearest neighbours (Å) after each atom.
Element x y z (fractional)
Nd  0.2500  0.7500  0.5000  4 Nd 3.04
Nd  0.7500  0.2500  0.5000  4 Nd 3.04
Dy  0.0845  0.0845  0.0000  1 Dy 2.99
Dy  0.9155  0.9155  0.0000  1 Dy 2.99
Al  0.5000  0.5000  0.0000  8 Dy 3.38

Energy of formation ... 444 meV per atom
Energy above the lowest structure with this stoichiometry ... 591 meV/atom

Material: Ba2AgP
Method: DFT, PBE
State: relaxed

Lattice parameters (Å, degrees): 4.7750 4.7750 6.6474 90.00 90.00 90.00
With the nearest neighbours (Å) after each atom.
Element x y z (fractional)
Ba  0.0000  0.0000  0.0000  2 Ag 3.32-3.33, 4 P 3.38
Ba  0.5000  0.5000  0.5004  2 P 3.32-3.33, 4 Ag 3.38
Ag  0.0000  0.0000  0.4998  6 Ba 3.32-3.38
P  0.5000  0.5000  0.0007  6 Ba 3.32-3.38

Energy of formation ... -500 meV per atom

Material: Ca2TlCl
Method: DFT, PBE
State: relaxed

Lattice parameters (Å, degrees): 6.0705 6.0705 6.0705 141.92 111.57 81.09
With the nearest neighbours (Å) after each atom.
Element x y z (fractional)
Ca  0.2145  0.2145  0.0000  2 Cl 2.80
Ca  0.7855  0.7855  0.0000  2 Cl 2.80
Tl  0.5000  0.0000  0.5000  4 Ca 3.30
Cl  0.0000  0.5000  0.5000  4 Ca 2.80

Energy above the lowest structure with this stoichiometry ... 209 meV/atom